PuUPaFe | PBE | relaxed

Cell: 4.737 4.737 4.737 Å, 60.00 60.00 60.00°
Sites, in units of the cell vectors:
Pu: 0.000 0.000 0.000
U: 0.250 0.250 0.250
Pa: 0.500 0.500 0.500
Fe: 0.750 0.750 0.750

E_form: 0.62 eV/f.u.
Calculated total energy: -10.7404 eV per atom
Theoretical density: 17.0 g/cm³